The following is a DFT calculation (GGA-PBEsol) of a geometry-optimized AlInAs2 structure.

* offset from the most stable computed form: 0.0 meV per atom
* magnetization: 0.00 μB per cell

The structure in CIF format:
```
data_AlInAs2
_chemical_formula_sum 'Al4 In4 As8'
_symmetry_space_group_name_H-M 'I -4 2 d'
_symmetry_Int_Tables_number 122
_symmetry_space_group_name_Hall 'I -4 2bw'
_cell_length_a 5.876
_cell_length_b 5.876
_cell_length_c 11.718
_cell_angle_alpha 90.00
_cell_angle_beta 90.00
_cell_angle_gamma 90.00
loop_
_atom_site_label
_atom_site_fract_x
_atom_site_fract_y
_atom_site_fract_z
Al1 0.000 0.000 0.000
In1 0.000 0.000 0.500
As1 0.225 0.250 0.125
```

---

The following is a DFT calculation (GGA-PBEsol) of a geometry-optimized AlInAs2 structure.

* offset from the most stable computed form: 175.5 meV per atom
* magnetization: 0.00 μB per cell

The structure in CIF format:
```
data_AlInAs2
_chemical_formula_sum 'Al2 In2 As4'
_symmetry_space_group_name_H-M 'C 1 2/m 1'
_symmetry_Int_Tables_number 12
_cell_length_a 6.674
_cell_length_b 3.866
_cell_length_c 6.695
_cell_angle_alpha 90.00
_cell_angle_beta 109.63
_cell_angle_gamma 90.00
loop_
_symmetry_equiv_pos_as_xyz
'x,y,z'
'-x,-y,-z'
'-x,y,-z'
'x,-y,z'
'x+1/2,y+1/2,z'
'-x+1/2,-y+1/2,-z'
'-x+1/2,y+1/2,-z'
'x+1/2,-y+1/2,z'
loop_
_atom_site_label
_atom_site_fract_x
_atom_site_fract_y
_atom_site_fract_z
Al1 0.000 0.000 0.000
In1 0.000 0.500 0.500
As1 0.240 0.500 0.222
```

---

The following is a DFT calculation (GGA-PBEsol) of a geometry-optimized AlInAs2 structure.

* offset from the most stable computed form: 212.2 meV per atom
* magnetization: 0.00 μB per cell

The structure in CIF format:
```
data_AlInAs2
_chemical_formula_sum 'Al2 In2 As4'
_symmetry_space_group_name_H-M 'A m m 2'
_symmetry_Int_Tables_number 38
_cell_length_a 5.170
_cell_length_b 5.270
_cell_length_c 6.409
_cell_angle_alpha 90.00
_cell_angle_beta 90.00
_cell_angle_gamma 90.00
loop_
_symmetry_equiv_pos_as_xyz
'x,y,z'
'-x,-y,z'
'-x,y,z'
'x,-y,z'
'x,y+1/2,z+1/2'
'-x,-y+1/2,z+1/2'
'-x,y+1/2,z+1/2'
'x,-y+1/2,z+1/2'
loop_
_atom_site_label
_atom_site_fract_x
_atom_site_fract_y
_atom_site_fract_z
Al1 0.000 0.000 0.000
In1 0.500 0.000 0.468
As1 0.000 0.000 0.609
As2 0.500 0.000 0.058
```

---

In the order shown, the computed total DFT energy (no corrections) values come out to -4.638; -4.462; -4.426 eV/atom.
In the order shown, the computed E_form values come out to -0.32; -0.14; -0.10 eV per atom.